[1]
## TiV3Ge (PBE-GGA)

Data for an optimized crystal structure of TiV3Ge.

abc: 4.4811 4.4811 4.4811
angles: 90.00 90.00 90.00
Site moments in Bohr magnetons follow the coordinates.
Sites, in units of the cell vectors:
V: 0.5000 0.0000 0.0000  0.20
V: 0.0000 0.0000 0.5000  0.20
V: 0.0000 0.5000 0.0000  0.20
Ge: 0.0000 0.0000 0.0000  -0.01
Ti: 0.5000 0.5000 0.5000  -0.15

Properties
The value obtained for the total magnetization is 0.45 Bohr magnetons per cell. The energy above the most stable polymorph in this dataset is 0.9866 eV/atom. Its density is 5.0 Mg/m³. For the raw total energy, the calculation gives -7.12 eV per atom.

[2]
## TiV2Ge (PBE-GGA)

Data for an optimized crystal structure of TiV2Ge.

abc: 4.2230 3.6878 3.6878
angles: 90.00 90.00 90.00
Sites, in units of the cell vectors:
V: 0.0000 0.5000 0.0000
V: 0.0000 0.0000 0.5000
Ge: 0.5000 0.0000 0.0000
Ti: 0.5000 0.5000 0.5000

Properties
The value obtained for the total magnetization is 0.00 Bohr magnetons per cell. Its density is 6.4 Mg/m³. For the raw total energy, the calculation gives -7.97 eV per atom.

[3]
## Ti2V2Ge3 (PBE-GGA)

Data for an optimized crystal structure of Ti2V2Ge3.

abc: 3.3963 6.1563 6.2201
angles: 113.79 105.84 90.00
Sites, in units of the cell vectors:
Ge: 0.0000 0.5000 0.0000
Ge: 0.7612 0.3311 0.5223
Ge: 0.2388 0.6689 0.4777
Ti: 0.3762 0.1235 0.7525
Ti: 0.6238 0.8765 0.2475
V: 0.9183 0.8068 0.8366
V: 0.0817 0.1932 0.1634

Properties
The value obtained for the total magnetization is 0.00 Bohr magnetons per cell. Its density is 6.1 Mg/m³. For the raw total energy, the calculation gives -6.99 eV per atom.

[4]
## TiV2Ge2 (PBE-GGA)

Data for an optimized crystal structure of TiV2Ge2.

abc: 6.6631 6.6631 3.3253
angles: 90.00 90.00 90.00
Sites, in units of the cell vectors:
Ge: 0.1344 0.3656 0.0000
Ge: 0.8656 0.6344 0.0000
Ge: 0.6344 0.1344 0.0000
Ge: 0.3656 0.8656 0.0000
V: 0.8334 0.3334 0.5000
V: 0.6666 0.8334 0.5000
V: 0.3334 0.1666 0.5000
V: 0.1666 0.6666 0.5000
Ti: 0.5000 0.5000 0.0000
Ti: 0.0000 0.0000 0.0000

Properties
The value obtained for the total magnetization is 0.00 Bohr magnetons per cell. The energy above the most stable polymorph in this dataset is 0.0000 eV/atom. Its density is 6.6 Mg/m³. For the raw total energy, the calculation gives -7.46 eV per atom.

[5]
## TiVGe3 (PBE-GGA)

Data for an optimized crystal structure of TiVGe3.

abc: 4.6848 4.6848 4.6848
angles: 90.00 90.00 90.00
Site moments in Bohr magnetons follow the coordinates.
Sites, in units of the cell vectors:
Ti: 0.5000 0.5000 0.5000  1.62
Ge: 0.5000 0.0000 0.0000  0.00
Ge: 0.0000 0.5000 0.0000  0.00
Ge: 0.0000 0.0000 0.5000  0.00
V: 0.0000 0.0000 0.0000  -0.02

Properties
The value obtained for the total magnetization is 1.99 Bohr magnetons per cell. Its density is 5.1 Mg/m³. For the raw total energy, the calculation gives -5.72 eV per atom.

[6]
## TiV2Ge (PBE-GGA)

Data for an optimized crystal structure of TiV2Ge.

abc: 4.4407 5.2821 5.5621
angles: 90.00 90.00 114.86
Sites, in units of the cell vectors:
V: 0.6211 0.2423 0.0325
V: 0.6211 0.2423 0.4675
V: 0.3789 0.7577 0.9675
V: 0.3789 0.7577 0.5325
Ge: 0.8296 0.6592 0.7500
Ge: 0.1704 0.3408 0.2500
Ti: 0.1054 0.2108 0.7500
Ti: 0.8946 0.7892 0.2500

Properties
The value obtained for the total magnetization is 0.00 Bohr magnetons per cell. Its density is 6.2 Mg/m³. For the raw total energy, the calculation gives -7.85 eV per atom.

Energy of formation from the pure elements, record by record: 0.85; -0.29; -0.15; -0.39; 0.45; -0.16 eV per atom